Run P
Below is crystalline ZnPd5Au at its relaxed geometry, with properties calculated at the PBE level.

The structure in POSCAR format:
```
ZnPd5Au
1.0
-0.821 3.643 -1.420
-0.684 -1.562 -3.613
-6.926 -0.898 1.700
Pd Zn Au
5 1 1
direct
0.500 0.500 0.500 Pd
0.500 0.000 0.218 Pd
0.000 0.500 0.218 Pd
0.000 0.500 0.782 Pd
0.500 0.000 0.782 Pd
0.500 0.500 0.000 Zn
0.000 0.000 0.500 Au
```


Run Q
Below is crystalline ZnPd5Au at its relaxed geometry, with properties calculated at the PBE level.

The structure in POSCAR format:
```
ZnPd5Au
1.0
5.120 0.615 -0.571
2.207 4.660 -0.571
1.711 1.232 9.881
Pd Au Zn
10 2 2
direct
0.358 0.340 0.552 Pd
0.742 0.258 0.250 Pd
0.660 0.642 0.948 Pd
0.258 0.742 0.750 Pd
0.237 0.245 0.315 Pd
0.245 0.237 0.815 Pd
0.763 0.755 0.685 Pd
0.340 0.358 0.052 Pd
0.642 0.660 0.448 Pd
0.755 0.763 0.185 Pd
0.000 0.000 0.000 Au
0.000 0.000 0.500 Au
0.753 0.247 0.750 Zn
0.247 0.753 0.250 Zn
```


Short version: run Q is the least stable of them.


Run P
Below is crystalline Zn3PdAu4 at its relaxed geometry, with properties calculated at the PBE level.

The structure in POSCAR format:
```
Zn3PdAu4
1.0
4.088 0.000 0.000
0.000 3.941 -1.109
-2.044 -3.780 9.166
Au Zn Pd
4 3 1
direct
0.629 0.887 0.258 Au
0.870 0.611 0.741 Au
0.371 0.113 0.742 Au
0.130 0.389 0.259 Au
0.253 0.259 0.506 Zn
0.000 0.500 0.000 Zn
0.747 0.741 0.494 Zn
0.500 0.000 0.000 Pd
```


Run Q
Below is crystalline Zn3PdAu4 at its relaxed geometry, with properties calculated at the PBE level.

The structure in POSCAR format:
```
Zn3PdAu4
1.0
-3.774 -0.430 2.853
3.595 -0.590 4.668
-0.107 9.220 1.248
Pd Zn Au
2 6 8
direct
0.000 0.500 0.000 Pd
0.000 0.500 0.500 Pd
0.000 0.000 0.500 Zn
0.384 0.000 0.250 Zn
0.371 0.500 0.250 Zn
0.629 0.500 0.750 Zn
0.000 0.000 0.000 Zn
0.616 0.000 0.750 Zn
0.500 0.245 0.500 Au
0.500 0.245 0.000 Au
0.500 0.755 0.000 Au
0.115 0.755 0.750 Au
0.115 0.245 0.750 Au
0.500 0.755 0.500 Au
0.885 0.755 0.250 Au
0.885 0.245 0.250 Au
```


Short version: run Q is the least stable of them.


Run P
Below is crystalline ZnPd6Au3 at its relaxed geometry, with properties calculated at the PBE level.

The structure in POSCAR format:
```
ZnPd6Au3
1.0
-3.960 -2.349 -0.569
2.239 -2.107 -6.880
2.883 -6.512 6.821
Pd Au Zn
12 6 2
direct
0.750 0.757 0.521 Pd
0.250 0.863 0.292 Pd
0.250 0.064 0.867 Pd
0.250 0.676 0.675 Pd
0.750 0.936 0.133 Pd
0.250 0.155 0.177 Pd
0.750 0.324 0.325 Pd
0.250 0.243 0.479 Pd
0.750 0.845 0.823 Pd
0.750 0.137 0.708 Pd
0.250 0.459 0.076 Pd
0.750 0.541 0.924 Pd
0.750 0.453 0.623 Au
0.750 0.630 0.223 Au
0.250 0.370 0.777 Au
0.250 0.772 0.980 Au
0.750 0.228 0.020 Au
0.250 0.547 0.377 Au
0.250 0.960 0.582 Zn
0.750 0.040 0.418 Zn
```


Run Q
Below is crystalline ZnPd6Au3 at its relaxed geometry, with properties calculated at the PBE level.

The structure in POSCAR format:
```
ZnPd6Au3
1.0
-1.477 1.706 4.412
-8.298 -0.225 -2.690
3.411 -7.041 3.865
Pd Au Zn
12 6 2
direct
0.129 0.709 0.291 Pd
0.369 0.027 0.449 Pd
0.026 0.387 0.291 Pd
0.869 0.973 0.551 Pd
0.526 0.291 0.387 Pd
0.939 0.062 0.938 Pd
0.629 0.291 0.709 Pd
0.439 0.938 0.062 Pd
0.526 0.613 0.709 Pd
0.026 0.709 0.613 Pd
0.869 0.449 0.027 Pd
0.369 0.551 0.973 Pd
0.078 0.391 0.609 Au
0.449 0.941 0.734 Au
0.949 0.734 0.941 Au
0.449 0.266 0.059 Au
0.578 0.609 0.391 Au
0.949 0.059 0.266 Au
0.152 0.219 0.781 Zn
0.652 0.781 0.219 Zn
```


Short version: run Q is the least stable of them.


Run P
Below is crystalline ZnPd2Au2 at its relaxed geometry, with properties calculated at the PBE level.

The structure in POSCAR format:
```
ZnPd2Au2
1.0
3.966 0.000 0.000
1.983 4.284 -1.411
1.983 -1.437 9.998
Zn Au Pd
2 4 4
direct
0.503 0.752 0.242 Zn
0.497 0.248 0.758 Zn
0.901 0.749 0.448 Au
0.297 0.256 0.150 Au
0.099 0.251 0.552 Au
0.703 0.744 0.850 Au
0.901 0.250 0.948 Pd
0.099 0.750 0.052 Pd
0.295 0.758 0.653 Pd
0.705 0.242 0.347 Pd
```


Run Q
Below is crystalline ZnPd2Au2 at its relaxed geometry, with properties calculated at the PBE level.

The structure in POSCAR format:
```
ZnPd2Au2
1.0
6.549 0.000 0.000
0.000 6.549 0.000
0.000 0.000 4.086
Pd Au Zn
4 4 2
direct
0.856 0.644 0.000 Pd
0.356 0.856 0.000 Pd
0.144 0.356 0.000 Pd
0.644 0.144 0.000 Pd
0.659 0.841 0.500 Au
0.341 0.159 0.500 Au
0.159 0.659 0.500 Au
0.841 0.341 0.500 Au
0.500 0.500 0.000 Zn
0.000 0.000 0.000 Zn
```


Run R
Below is crystalline ZnPd2Au2 at its relaxed geometry, with properties calculated at the PBE level.

The structure in POSCAR format:
```
ZnPd2Au2
1.0
4.865 -1.377 0.517
1.262 5.712 0.329
0.740 0.442 2.835
Pd Au Zn
2 2 1
direct
0.192 0.878 0.216 Pd
0.808 0.122 0.784 Pd
0.381 0.294 0.412 Au
0.619 0.706 0.588 Au
0.000 0.500 0.000 Zn
```


Short version: run Q is the least stable of them.


Run P
Below is crystalline ZnPd6Au at its relaxed geometry, with properties calculated at the PBE level.

The structure in POSCAR format:
```
ZnPd6Au
1.0
3.977 0.000 0.000
0.000 3.977 0.000
0.000 0.000 7.835
Pd Au Zn
6 1 1
direct
0.500 0.000 0.259 Pd
0.000 0.500 0.741 Pd
0.500 0.500 0.500 Pd
0.500 0.000 0.741 Pd
0.500 0.500 0.000 Pd
0.000 0.500 0.259 Pd
0.000 0.000 0.000 Au
0.000 0.000 0.500 Zn
```


Run Q
Below is crystalline ZnPd6Au at its relaxed geometry, with properties calculated at the PBE level.

The structure in POSCAR format:
```
ZnPd6Au
1.0
3.801 0.000 1.038
1.736 4.416 1.122
0.024 -0.011 7.391
Pd Zn Au
6 1 1
direct
0.750 0.621 0.879 Pd
0.499 0.760 0.242 Pd
0.501 0.240 0.758 Pd
0.250 0.379 0.121 Pd
0.248 0.874 0.631 Pd
0.752 0.126 0.369 Pd
0.000 0.000 0.000 Zn
0.000 0.500 0.500 Au
```


Short version: run P is the least stable of them.


Run P
Below is crystalline ZnPd6Au2 at its relaxed geometry, with properties calculated at the PBE level.

The structure in POSCAR format:
```
ZnPd6Au2
1.0
-1.069 -2.372 -4.366
0.170 -7.066 5.150
-6.317 -3.603 4.858
Pd Zn Au
12 2 4
direct
0.148 0.612 0.537 Pd
0.648 0.537 0.612 Pd
0.852 0.388 0.463 Pd
0.614 0.613 0.060 Pd
0.146 0.799 0.027 Pd
0.386 0.387 0.940 Pd
0.854 0.201 0.973 Pd
0.886 0.940 0.387 Pd
0.352 0.463 0.388 Pd
0.354 0.973 0.201 Pd
0.114 0.060 0.613 Pd
0.646 0.027 0.799 Pd
0.250 0.202 0.798 Zn
0.750 0.798 0.202 Zn
0.538 0.194 0.344 Au
0.462 0.806 0.656 Au
0.038 0.344 0.194 Au
0.962 0.656 0.806 Au
```


Run Q
Below is crystalline ZnPd6Au2 at its relaxed geometry, with properties calculated at the PBE level.

The structure in POSCAR format:
```
ZnPd6Au2
1.0
3.999 0.000 0.000
-1.999 4.307 1.159
0.000 0.598 8.402
Pd Zn Au
6 1 2
direct
0.343 0.686 0.712 Pd
0.995 0.989 0.178 Pd
0.327 0.653 0.394 Pd
0.673 0.347 0.606 Pd
0.005 0.011 0.822 Pd
0.657 0.314 0.288 Pd
0.000 0.000 0.500 Zn
0.332 0.665 0.058 Au
0.668 0.335 0.942 Au
```


Short version: run P is the least stable of them.


Run P
Below is crystalline ZnPd3Au at its relaxed geometry, with properties calculated at the PBE level.

The structure in POSCAR format:
```
ZnPd3Au
1.0
-2.396 4.255 -0.957
-1.475 0.237 4.746
4.104 2.569 1.147
Pd Au Zn
3 1 1
direct
0.500 0.000 0.000 Pd
0.000 0.000 0.500 Pd
0.000 0.500 0.000 Pd
0.000 0.000 0.000 Au
0.500 0.500 0.500 Zn
```


Run Q
Below is crystalline ZnPd3Au at its relaxed geometry, with properties calculated at the PBE level.

The structure in POSCAR format:
```
ZnPd3Au
1.0
8.646 1.535 1.208
3.380 6.620 0.114
3.380 1.666 6.408
Au Zn Pd
4 4 12
direct
0.849 0.474 0.729 Au
0.349 0.729 0.474 Au
0.651 0.271 0.526 Au
0.151 0.526 0.271 Au
0.750 0.634 0.366 Zn
0.250 0.366 0.634 Zn
0.250 0.883 0.117 Zn
0.750 0.117 0.883 Zn
0.045 0.178 0.427 Pd
0.548 0.924 0.674 Pd
0.352 0.221 0.974 Pd
0.048 0.674 0.924 Pd
0.452 0.076 0.326 Pd
0.545 0.427 0.178 Pd
0.455 0.573 0.822 Pd
0.955 0.822 0.573 Pd
0.852 0.974 0.221 Pd
0.648 0.779 0.026 Pd
0.952 0.326 0.076 Pd
0.148 0.026 0.779 Pd
```


Short version: run P is the least stable of them.


Run P
Below is crystalline ZnPd3Au at its relaxed geometry, with properties calculated at the PBE level.

The structure in POSCAR format:
```
ZnPd3Au
1.0
-2.543 0.584 3.788
-1.675 -4.258 -0.469
3.447 -1.639 2.567
Pd Au Zn
3 1 1
direct
0.000 0.000 0.500 Pd
0.500 0.000 0.000 Pd
0.000 0.500 0.000 Pd
0.500 0.500 0.500 Au
0.000 0.000 0.000 Zn
```


Run Q
Below is crystalline ZnPd3Au at its relaxed geometry, with properties calculated at the PBE level.

The structure in POSCAR format:
```
ZnPd3Au
1.0
-1.205 -4.415 1.424
3.634 -1.558 2.708
-3.717 0.509 6.460
Pd Zn Au
6 2 2
direct
0.654 0.844 0.410 Pd
0.257 0.845 0.204 Pd
0.757 0.345 0.204 Pd
0.154 0.344 0.410 Pd
0.955 0.344 0.806 Pd
0.456 0.845 0.809 Pd
0.559 0.344 0.601 Zn
0.852 0.844 0.014 Zn
0.056 0.843 0.609 Au
0.355 0.346 0.006 Au
```


Short version: run P is the least stable of them.